ScCoBPt after structural relaxation, computed with PBE-GGA. Values from VASP.

```
&SYSTEM
  ibrav = 0, nat = 4, ntyp = 4
/
ATOMIC_SPECIES
Sc 44.96 Sc.upf
Co 58.93 Co.upf
B 10.81 B.upf
Pt 195.08 Pt.upf
CELL_PARAMETERS angstrom
0.000 3.004 3.004
3.004 0.000 3.004
3.004 3.004 0.000
ATOMIC_POSITIONS crystal
Sc 0.000 0.000 0.000
Co 0.500 0.500 0.500
B 0.250 0.250 0.250
Pt 0.750 0.750 0.750
```

Results
The energy above the most stable polymorph in this dataset is 64 kJ/mol of formula units. The value obtained for the volume is 54.21 Å³/cell. The symmetry is No. 216.